First-principles (GGA+U) data for a geometry-optimized RbYFeO3 structure, as listed in the Alexandria database.

Properties
**Raw total energy**: -79.27 eV per cell
**Density**: 3.78 g/cm3

a = 7.6041 Å, b = 3.6577 Å, c = 9.5687 Å
α = 90.00°, β = 113.29°, γ = 90.00°
Space group P2_1/m (No. 11)
Asymmetric unit:
Rb 0.2075 0.2500 0.1796 x2
Y 0.3239 0.7500 0.8650 x2
Fe 0.0283 0.2500 0.6244 x2
O 0.0884 0.7500 0.6100 x2
O 0.1194 0.2500 0.8487 x2
O 0.4743 0.7500 0.1175 x2